(1)
A relaxed LaWSeN2 crystal, computed with GGA-PBE.

Calculated values
* E above lowest polymorph: 0.00 kJ per mole of atoms
* E_tot: -8.174 eV/atom
* V: 84.0 Å³ per cell
* uncorrected formation energy: -0.571 eV/atom
* mass density: 8.49 g/cm3

Unit cell a=4.0797 b=4.0797 c=5.0478 alpha=90.00 beta=90.00 gamma=90.00
With the nearest neighbours (Å) after each atom.
Sites, in units of the cell vectors:
W1 0.0000 0.0000 0.0000  4 N 2.04
N1 0.0000 0.5000 0.0000  2 W 2.04
La1 0.5000 0.5000 0.5000  4 Se 2.88
N2 0.5000 0.0000 0.0000  2 W 2.04
Se1 0.0000 0.0000 0.5000  2 W 2.52

(2)
A relaxed LaWSe2N crystal, computed with GGA-PBE.

Calculated values
* E above lowest polymorph: 179.63 kJ per mole of atoms
* E_tot: -5.520 eV/atom
* V: 133.9 Å³ per cell
* uncorrected formation energy: 1.115 eV/atom
* mass density: 6.14 g/cm3

Unit cell a=5.7630 b=5.7630 c=4.0303 alpha=90.00 beta=90.00 gamma=90.00
With the nearest neighbours (Å) after each atom.
Sites, in units of the cell vectors:
W1 0.5000 0.5000 0.5000  8 Se 3.52
N1 0.0000 0.0000 0.5000  2 La 2.02
La1 0.0000 0.0000 0.0000  2 N 2.02
Se1 0.5000 0.0000 0.0000  2 La 2.88
Se2 0.0000 0.5000 0.0000  2 La 2.88

(3)
A relaxed LaYSeN2 crystal, computed with GGA-PBE.

Calculated values
* E above lowest polymorph: 28.29 kJ per mole of atoms
* E_tot: -6.474 eV/atom
* V: 109.4 Å³ per cell
* uncorrected formation energy: -0.168 eV/atom
* mass density: 5.08 g/cm3

Unit cell a=4.3209 b=4.3209 c=5.8589 alpha=90.00 beta=90.00 gamma=90.00
With the nearest neighbours (Å) after each atom.
Sites, in units of the cell vectors:
N1 0.5000 0.0000 0.0000  2 La 2.16
La1 0.0000 0.0000 0.0000  4 N 2.16
N2 0.0000 0.5000 0.0000  2 La 2.16
Y1 0.5000 0.5000 0.5000  4 Se 3.06
Se1 0.0000 0.0000 0.5000  2 La 2.93, 4 Y 3.06

(4)
A relaxed LaYSeN2 crystal, computed with GGA-PBE.

Calculated values
* E above lowest polymorph: 0.00 kJ per mole of atoms
* E_tot: -6.767 eV/atom
* V: 106.6 Å³ per cell
* uncorrected formation energy: -0.462 eV/atom
* mass density: 5.21 g/cm3

Unit cell a=4.4028 b=4.4028 c=5.5014 alpha=90.00 beta=90.00 gamma=90.00
With the nearest neighbours (Å) after each atom.
Sites, in units of the cell vectors:
Se1 0.0000 0.0000 0.5000  2 Y 2.75
N1 0.0000 0.5000 0.0000  2 Y 2.20
Y1 0.0000 0.0000 0.0000  4 N 2.20
N2 0.5000 0.0000 0.0000  2 Y 2.20
La1 0.5000 0.5000 0.5000  4 Se 3.11

(5)
A relaxed LaZnSeN2 crystal, computed with GGA-PBE.

Calculated values
* E above lowest polymorph: 40.08 kJ per mole of atoms
* E_tot: -4.571 eV/atom
* V: 111.2 Å³ per cell
* uncorrected formation energy: 0.696 eV/atom
* mass density: 4.65 g/cm3

Unit cell a=4.1230 b=4.1230 c=6.5440 alpha=90.00 beta=90.00 gamma=90.00
With the nearest neighbours (Å) after each atom.
Sites, in units of the cell vectors:
La1 0.0000 0.0000 0.0000  4 N 2.06
N1 0.0000 0.5000 0.0000  2 La 2.06
Zn1 0.5000 0.5000 0.5000  4 Se 2.92
N2 0.5000 0.0000 0.0000  2 La 2.06
Se1 0.0000 0.0000 0.5000  4 Zn 2.92

(6)
A relaxed LaZnSeN2 crystal, computed with GGA-PBE.

Calculated values
* E above lowest polymorph: 0.00 kJ per mole of atoms
* E_tot: -4.987 eV/atom
* V: 84.1 Å³ per cell
* uncorrected formation energy: 0.281 eV/atom
* mass density: 6.15 g/cm3

Unit cell a=4.1913 b=4.1913 c=4.7850 alpha=90.00 beta=90.00 gamma=90.00
With the nearest neighbours (Å) after each atom.
Sites, in units of the cell vectors:
N1 0.0000 0.5000 0.0000  2 Zn 2.10
La1 0.5000 0.5000 0.5000  4 Se 2.96, 8 N 3.18
Zn1 0.0000 0.0000 0.0000  4 N 2.10
N2 0.5000 0.0000 0.0000  2 Zn 2.10
Se1 0.0000 0.0000 0.5000  2 Zn 2.39

> Which formula does entry 2 have?

LaWSe2N

> The highest V belongs to which entry?

LaWSe2N